(1)
{"formula": "BaHg2OsO", "functional": "GGA-PBEsol", "state": "relaxed", "lattice_angstrom": [[5.521, 0.000, 0.000], [0.000, 5.521, 0.000], [0.000, 0.000, 3.756]], "species": ["Ba", "Hg", "Hg", "Os", "O"], "fractional_positions": [[0.000, 0.000, 0.000], [0.000, 0.500, 0.500], [0.500, 0.000, 0.500], [0.500, 0.500, 0.500], [0.500, 0.500, 0.000]], "magnetic_moment_mub_per_cell": 0.0, "energy_ev_per_cell": -22.1}

***

(2)
{"formula": "CdAgMo2", "functional": "GGA-PBEsol", "state": "relaxed", "lattice_angstrom": [[2.677, 0.000, 0.000], [0.000, 4.225, 0.000], [0.000, 0.000, 5.841]], "species": ["Cd", "Ag", "Mo", "Mo"], "fractional_positions": [[0.000, 0.000, 0.000], [0.500, 0.500, 0.760], [0.000, 0.000, 0.491], [0.500, 0.500, 0.279]], "e_form_mev_per_atom": 419, "magnetic_moment_mub_per_cell": 0.0, "energy_ev_per_cell": -26.4}

***

(3)
{"formula": "ZrAgPb", "functional": "GGA-PBEsol", "state": "relaxed", "lattice_angstrom": [[3.177, 0.000, 0.000], [-1.588, 2.751, 0.000], [0.000, 0.000, 7.534]], "species": ["Zr", "Ag", "Pb"], "fractional_positions": [[0.000, 0.000, 0.000], [0.333, 0.667, 0.690], [0.667, 0.333, 0.352]], "e_form_mev_per_atom": 81, "magnetic_moment_mub_per_cell": 0.0, "energy_ev_per_cell": -16.2}

***

(4)
{"formula": "Zr5Co", "functional": "GGA-PBEsol", "state": "relaxed", "lattice_angstrom": [[1.607, -7.224, 0.000], [1.607, 7.224, 0.000], [0.000, 0.000, 5.041]], "species": ["Zr", "Zr", "Zr", "Zr", "Zr", "Co"], "fractional_positions": [[0.000, 0.000, 0.000], [0.147, 0.853, 0.500], [0.334, 0.666, 0.000], [0.666, 0.334, 0.000], [0.853, 0.147, 0.500], [0.500, 0.500, 0.500]], "relative_energy_mev_per_atom": 109, "e_form_mev_per_atom": 21, "magnetic_moment_mub_per_cell": 0.0, "energy_ev_per_cell": -53.1}